Here is an optimized crystal structure of Na2CoAuO4 from OQMD via LeMat-Bulk. Energies are from PBE+U.

Cell and atoms, written as POSCAR:
```
Na2CoAuO4
1.0
5.705 0.000 0.000
0.000 1.750 5.506
0.000 -1.750 5.506
Na Co Au O
2 1 1 4
Direct
0.000 0.000 0.000
0.500 0.430 0.430
0.000 0.717 0.717
0.500 0.710 0.710
0.223 0.596 0.596
0.235 0.831 0.831
0.765 0.831 0.831
0.777 0.596 0.596
```

## Properties
size of the total moment: 2.00 μB/cell
calculated total energy: -38.7 eV/cell